Compound: AcTb6Pm8
Source: the Alexandria database
Functional: PBE
Structure: relaxed

Results
Mass density, g/cm³: 7.49
Uncorrected energy, eV per formula unit: -67.51
Total moment, μB per formula unit: 0.000

Cell: 9.3822 9.3822 8.6990 Å, 57.37 57.37 60.00°
Fractional positions:
Pm 0.6556 0.7747 0.4863
Pm 0.5720 0.5720 0.2839
Pm 0.0835 0.6556 0.4863
Pm 0.7747 0.0835 0.4863
Pm 0.9165 0.3444 0.5137
Pm 0.4280 0.4280 0.7161
Pm 0.2253 0.9165 0.5137
Pm 0.3444 0.2253 0.5137
Tb 0.8936 0.7317 0.9217
Tb 0.1064 0.2683 0.0783
Tb 0.4530 0.8936 0.9217
Tb 0.2683 0.5470 0.0783
Tb 0.5470 0.1064 0.0783
Tb 0.7317 0.4530 0.9217
Ac 0.0000 0.0000 0.0000

***

Compound: Ac2Tb4Pm3
Source: the Alexandria database
Functional: PBE
Structure: relaxed

Results
Mass density, g/cm³: 7.80
Uncorrected energy, eV per formula unit: -40.23
Total moment, μB per formula unit: 0.005

Cell: 3.7098 3.7098 27.2209 Å, 90.00 90.00 120.00°
Fractional positions:
Ac 0.6667 0.3333 0.8647
Ac 0.6667 0.3333 0.0961
Tb 0.6667 0.3333 0.2272
Tb 0.6667 0.3333 0.4379
Tb 0.0000 0.0000 0.5400
Tb 0.0000 0.0000 0.7518
Pm 0.0000 0.0000 0.3304
Pm 0.0000 0.0000 0.9827
Pm 0.6667 0.3333 0.6464